Entry a
! CaTb2Th, relaxed, DFT PBE-GGA; values from VASP
&SYSTEM
  ibrav = 0, nat = 4, ntyp = 3
/
ATOMIC_SPECIES
Ca 40.08 Ca.upf
Tb 158.93 Tb.upf
Th 232.04 Th.upf
CELL_PARAMETERS angstrom
3.649 0.000 0.000
0.000 3.649 0.000
0.000 0.000 10.308
ATOMIC_POSITIONS angstrom
Ca 0.000 0.000 0.000
Tb 1.824 1.824 2.824
Tb 1.824 1.824 7.483
Th 0.000 0.000 5.154
! Space group: No. 123

=====

Entry b
! CaTb2Th, relaxed, DFT PBE-GGA; values from VASP
&SYSTEM
  ibrav = 0, nat = 4, ntyp = 3
/
ATOMIC_SPECIES
Ca 40.08 Ca.upf
Tb 158.93 Tb.upf
Th 232.04 Th.upf
CELL_PARAMETERS angstrom
5.944 0.000 0.000
0.000 5.944 0.000
0.000 0.000 3.783
ATOMIC_POSITIONS angstrom
Ca 0.000 0.000 0.000
Tb 0.000 2.972 1.891
Tb 2.972 0.000 1.891
Th 2.972 2.972 0.000
! Space group: No. 123

=====

Most stable structure - entry a; separation to the second - 0.137 eV/atom.

=====

Entry a
! CaTb2Th, relaxed, DFT PBE-GGA; values from VASP
&SYSTEM
  ibrav = 0, nat = 4, ntyp = 3
/
ATOMIC_SPECIES
Ca 40.08 Ca.upf
Tb 158.93 Tb.upf
Th 232.04 Th.upf
CELL_PARAMETERS angstrom
0.000 4.069 4.069
4.069 0.000 4.069
4.069 4.069 0.000
ATOMIC_POSITIONS angstrom
Ca 0.000 0.000 0.000
Tb 2.035 2.035 2.035
Tb 6.104 6.104 6.104
Th 4.069 4.069 4.069
! Space group: No. 225

=====

Entry b
! CaTb2Th, relaxed, DFT PBE-GGA; values from VASP
&SYSTEM
  ibrav = 0, nat = 4, ntyp = 3
/
ATOMIC_SPECIES
Ca 40.08 Ca.upf
Tb 158.93 Tb.upf
Th 232.04 Th.upf
CELL_PARAMETERS angstrom
1.811 1.045 11.932
-1.811 1.045 11.932
0.000 -2.091 11.932
ATOMIC_POSITIONS angstrom
Ca 0.000 0.000 0.000
Tb 0.000 0.000 20.650
Tb 0.000 0.000 27.021
Th 0.000 0.000 5.931
! Space group: No. 160

=====

Entry c
! CaTb2Th, relaxed, DFT PBE-GGA; values from VASP
&SYSTEM
  ibrav = 0, nat = 4, ntyp = 3
/
ATOMIC_SPECIES
Ca 40.08 Ca.upf
Tb 158.93 Tb.upf
Th 232.04 Th.upf
CELL_PARAMETERS angstrom
1.787 1.032 12.456
-1.787 1.032 12.456
0.000 -2.064 12.456
ATOMIC_POSITIONS angstrom
Ca 0.000 0.000 0.000
Tb 0.000 0.000 3.435
Tb 0.000 0.000 33.934
Th 0.000 0.000 18.685
! Space group: No. 166

=====

Most stable structure - entry b; separation to the second - 0.093 eV/atom.

=====

Entry a
! CaTbTl4, relaxed, DFT PBE-GGA; values from VASP
&SYSTEM
  ibrav = 0, nat = 6, ntyp = 3
/
ATOMIC_SPECIES
Ca 40.08 Ca.upf
Tb 158.93 Tb.upf
Tl 204.38 Tl.upf
CELL_PARAMETERS angstrom
0.000 4.448 4.448
4.448 0.000 4.448
4.448 4.448 0.000
ATOMIC_POSITIONS angstrom
Ca 0.000 0.000 0.000
Tb 6.672 6.672 6.672
Tl 3.339 3.339 3.339
Tl 5.557 5.557 3.339
Tl 5.557 3.339 5.557
Tl 3.339 5.557 5.557
! Space group: No. 216

=====

Entry b
! CaTbTl4, relaxed, DFT PBE-GGA; values from VASP
&SYSTEM
  ibrav = 0, nat = 6, ntyp = 3
/
ATOMIC_SPECIES
Ca 40.08 Ca.upf
Tb 158.93 Tb.upf
Tl 204.38 Tl.upf
CELL_PARAMETERS angstrom
4.934 0.000 0.000
-2.350 4.956 0.000
-0.028 -0.017 7.086
ATOMIC_POSITIONS angstrom
Ca 0.000 0.000 0.000
Tb -0.014 -0.008 3.543
Tl 0.057 3.360 1.829
Tl 0.046 3.352 5.244
Tl 2.510 1.587 1.842
Tl 2.499 1.579 5.257
! Space group: No. 2

=====

Most stable structure - entry b; separation to the second - 0.105 eV/atom.

=====

Entry a
! Ca2TbTl, relaxed, DFT PBE-GGA; values from VASP
&SYSTEM
  ibrav = 0, nat = 4, ntyp = 3
/
ATOMIC_SPECIES
Ca 40.08 Ca.upf
Tb 158.93 Tb.upf
Tl 204.38 Tl.upf
CELL_PARAMETERS angstrom
4.194 0.000 0.000
0.000 4.194 0.000
0.000 0.000 7.357
ATOMIC_POSITIONS angstrom
Ca 0.000 0.000 1.722
Ca 0.000 0.000 5.635
Tb 2.097 2.097 3.679
Tl 2.097 2.097 0.000
! Space group: No. 123

=====

Entry b
! Ca2TbTl, relaxed, DFT PBE-GGA; values from VASP
&SYSTEM
  ibrav = 0, nat = 4, ntyp = 3
/
ATOMIC_SPECIES
Ca 40.08 Ca.upf
Tb 158.93 Tb.upf
Tl 204.38 Tl.upf
CELL_PARAMETERS angstrom
4.868 0.000 0.000
0.000 4.868 0.000
0.000 0.000 5.247
ATOMIC_POSITIONS angstrom
Ca 0.000 2.434 0.000
Ca 2.434 0.000 0.000
Tb 0.000 0.000 2.623
Tl 2.434 2.434 2.623
! Space group: No. 123

=====

Entry c
! Ca2TbTl, relaxed, DFT PBE-GGA; values from VASP
&SYSTEM
  ibrav = 0, nat = 4, ntyp = 3
/
ATOMIC_SPECIES
Ca 40.08 Ca.upf
Tb 158.93 Tb.upf
Tl 204.38 Tl.upf
CELL_PARAMETERS angstrom
0.000 4.006 4.006
4.006 0.000 4.006
4.006 4.006 0.000
ATOMIC_POSITIONS angstrom
Ca 2.003 2.003 2.003
Ca 6.008 6.008 6.008
Tb 0.000 0.000 0.000
Tl 4.006 4.006 4.006
! Space group: No. 225

=====

Most stable structure - entry b; separation to the second - 0.083 eV/atom.

=====

Entry a
! CaTb3Tl2, relaxed, DFT PBE-GGA; values from VASP
&SYSTEM
  ibrav = 0, nat = 12, ntyp = 3
/
ATOMIC_SPECIES
Ca 40.08 Ca.upf
Tb 158.93 Tb.upf
Tl 204.38 Tl.upf
CELL_PARAMETERS angstrom
8.206 -2.733 0.000
8.206 2.733 0.000
-4.167 0.000 8.229
ATOMIC_POSITIONS angstrom
Ca 1.430 0.000 1.553
Ca 10.816 0.000 6.676
Tb -1.992 0.000 5.867
Tb 5.036 0.000 0.061
Tb 4.377 0.000 3.826
Tb 7.868 0.000 4.403
Tb 7.209 0.000 8.168
Tb 14.237 0.000 2.362
Tl 1.166 0.000 5.009
Tl 4.426 0.000 6.802
Tl 7.820 0.000 1.427
Tl 11.080 0.000 3.221
! Space group: No. 12

=====

Entry b
! CaTb3Tl2, relaxed, DFT PBE-GGA; values from VASP
&SYSTEM
  ibrav = 0, nat = 12, ntyp = 3
/
ATOMIC_SPECIES
Ca 40.08 Ca.upf
Tb 158.93 Tb.upf
Tl 204.38 Tl.upf
CELL_PARAMETERS angstrom
5.411 0.000 0.000
0.000 9.444 0.000
0.000 0.000 6.842
ATOMIC_POSITIONS angstrom
Ca 0.000 0.112 0.000
Ca 0.000 9.332 3.421
Tb 0.000 3.157 4.992
Tb 0.000 6.287 1.571
Tb 2.706 1.601 1.798
Tb 2.706 4.631 6.788
Tb 2.706 4.813 3.366
Tb 2.706 7.842 5.220
Tl 0.000 3.166 1.659
Tl 0.000 6.277 5.080
Tl 2.706 1.565 5.138
Tl 2.706 7.878 1.716
! Space group: No. 26

=====

Most stable structure - entry b; separation to the second - 0.139 eV/atom.

=====

Entry a
! CaTbTm, relaxed, DFT PBE-GGA; values from VASP
&SYSTEM
  ibrav = 0, nat = 3, ntyp = 3
/
ATOMIC_SPECIES
Ca 40.08 Ca.upf
Tb 158.93 Tb.upf
Tm 168.93 Tm.upf
CELL_PARAMETERS angstrom
-1.808 1.808 7.756
1.808 -1.808 7.756
1.808 1.808 -7.756
ATOMIC_POSITIONS angstrom
Ca 0.000 0.000 0.000
Tb 0.000 0.000 4.991
Tm 0.000 0.000 10.476
! Space group: No. 107

=====

Entry b
! CaTbTm, relaxed, DFT PBE-GGA; values from VASP
&SYSTEM
  ibrav = 0, nat = 3, ntyp = 3
/
ATOMIC_SPECIES
Ca 40.08 Ca.upf
Tb 158.93 Tb.upf
Tm 168.93 Tm.upf
CELL_PARAMETERS angstrom
3.594 0.000 0.000
-1.797 3.112 0.000
0.000 0.000 9.066
ATOMIC_POSITIONS angstrom
Ca 0.000 0.000 0.000
Tb 0.000 2.075 5.866
Tm 1.797 1.037 3.125
! Space group: No. 156

=====

Most stable structure - entry a; separation to the second - 0.009 eV/atom.

=====

Entry a
! CaTbY, relaxed, DFT PBE-GGA; values from VASP
&SYSTEM
  ibrav = 0, nat = 6, ntyp = 3
/
ATOMIC_SPECIES
Ca 40.08 Ca.upf
Tb 158.93 Tb.upf
Y 88.91 Y.upf
CELL_PARAMETERS angstrom
1.828 1.056 18.082
-1.828 1.056 18.082
0.000 -2.111 18.082
ATOMIC_POSITIONS angstrom
Ca 0.000 0.000 7.379
Ca 0.000 0.000 46.866
Tb 0.000 0.000 22.316
Tb 0.000 0.000 31.929
Y 0.000 0.000 16.650
Y 0.000 0.000 37.595
! Space group: No. 166

=====

Entry b
! CaTbY, relaxed, DFT PBE-GGA; values from VASP
&SYSTEM
  ibrav = 0, nat = 3, ntyp = 3
/
ATOMIC_SPECIES
Ca 40.08 Ca.upf
Tb 158.93 Tb.upf
Y 88.91 Y.upf
CELL_PARAMETERS angstrom
-1.825 1.825 7.814
1.825 -1.825 7.814
1.825 1.825 -7.814
ATOMIC_POSITIONS angstrom
Ca 0.000 0.000 0.000
Tb 0.000 0.000 5.068
Y 0.000 0.000 10.571
! Space group: No. 107

=====

Entry c
! CaTbY, relaxed, DFT PBE-GGA; values from VASP
&SYSTEM
  ibrav = 0, nat = 6, ntyp = 3
/
ATOMIC_SPECIES
Ca 40.08 Ca.upf
Tb 158.93 Tb.upf
Y 88.91 Y.upf
CELL_PARAMETERS angstrom
3.642 0.000 0.000
0.000 3.642 0.000
0.000 0.000 15.787
ATOMIC_POSITIONS angstrom
Ca 0.911 0.911 1.497
Ca 2.732 2.732 14.291
Tb 0.911 0.911 11.547
Tb 2.732 2.732 4.240
Y 0.911 0.911 6.617
Y 2.732 2.732 9.170
! Space group: No. 129

=====

Entry d
! CaTbY, relaxed, DFT PBE-GGA; values from VASP
&SYSTEM
  ibrav = 0, nat = 3, ntyp = 3
/
ATOMIC_SPECIES
Ca 40.08 Ca.upf
Tb 158.93 Tb.upf
Y 88.91 Y.upf
CELL_PARAMETERS angstrom
3.632 0.000 0.000
-1.816 3.146 0.000
0.000 0.000 9.111
ATOMIC_POSITIONS angstrom
Ca 0.000 0.000 0.000
Tb 1.816 1.049 3.173
Y 0.000 2.097 5.949
! Space group: No. 156

=====

Most stable structure - entry a; separation to the second - 0.010 eV/atom.

=====

Entry a
! CaTbZn, relaxed, DFT PBE-GGA; values from VASP
&SYSTEM
  ibrav = 0, nat = 6, ntyp = 3
/
ATOMIC_SPECIES
Ca 40.08 Ca.upf
Tb 158.93 Tb.upf
Zn 65.41 Zn.upf
CELL_PARAMETERS angstrom
4.803 0.000 0.000
0.000 4.803 0.000
0.000 0.000 7.708
ATOMIC_POSITIONS angstrom
Ca 1.201 1.201 1.037
Ca 3.602 3.602 6.671
Tb 1.201 3.602 3.854
Tb 3.602 1.201 3.854
Zn 1.201 1.201 5.658
Zn 3.602 3.602 2.050
! Space group: No. 129

=====

Entry b
! CaTbZn, relaxed, DFT PBE-GGA; values from VASP
&SYSTEM
  ibrav = 0, nat = 3, ntyp = 3
/
ATOMIC_SPECIES
Ca 40.08 Ca.upf
Tb 158.93 Tb.upf
Zn 65.41 Zn.upf
CELL_PARAMETERS angstrom
0.000 3.569 3.569
3.569 0.000 3.569
3.569 3.569 0.000
ATOMIC_POSITIONS angstrom
Ca 0.000 0.000 0.000
Tb 3.569 3.569 3.569
Zn 1.785 1.785 1.785
! Space group: No. 216

=====

Most stable structure - entry a; separation to the second - 0.155 eV/atom.